Entry 1:
Below is a geometry-optimized Tm3In2Ag structure, with properties calculated at the PBE level.

Geometry as extended XYZ:
```
6
Lattice="3.5518 0.0000 0.0000 0.0000 3.5518 0.0000 0.0000 0.0000 11.7706" Properties=species:S:1:pos:R:3 pbc="T T T"
Tm 0.0000 0.0000 0.0000
Tm 0.0000 0.0000 4.0888
Tm 0.0000 0.0000 7.6818
In 1.7759 1.7759 2.0556
In 1.7759 1.7759 9.7150
Ag 1.7759 1.7759 5.8853
```

Summary:
Final energy = -4.0254 eV per atom
SG = P4/mmm, No. 123
Total magnetization = 0.01 μB per formula unit

=====

Entry 2:
Below is a geometry-optimized TmInAg structure, with properties calculated at the PBE level.

Geometry as extended XYZ:
```
12
Lattice="6.9139 0.0000 0.0000 0.0000 6.9139 0.0000 0.0000 0.0000 6.9139" Properties=species:S:1:pos:R:3 pbc="T T T"
Tm 0.0000 0.0000 0.0000
Tm 0.0000 3.4569 3.4569
Tm 3.4569 0.0000 3.4569
Tm 3.4569 3.4569 0.0000
In 1.7285 1.7285 1.7285
In 1.7285 5.1854 5.1854
In 5.1854 1.7285 5.1854
In 5.1854 5.1854 1.7285
Ag 1.7285 1.7285 5.1854
Ag 1.7285 5.1854 1.7285
Ag 5.1854 1.7285 1.7285
Ag 5.1854 5.1854 5.1854
```

Summary:
Final energy = -3.1944 eV per atom
SG = F-43m, No. 216
Total magnetization = 0.00 μB per formula unit

=====

Entry 3:
Below is a geometry-optimized InAg2W structure, with properties calculated at the PBE level.

Geometry as extended XYZ:
```
16
Lattice="6.6073 0.0000 0.0000 0.0000 6.6073 0.0000 0.0000 0.0000 6.6073" Properties=species:S:1:pos:R:3 pbc="T T T"
In 0.0000 0.0000 0.0000
In 0.0000 3.3037 3.3037
In 3.3037 0.0000 3.3037
In 3.3037 3.3037 0.0000
Ag 0.0000 0.0000 3.3037
Ag 0.0000 3.3037 0.0000
Ag 1.6518 1.6518 4.9555
Ag 1.6518 4.9555 1.6518
Ag 3.3037 0.0000 0.0000
Ag 3.3037 3.3037 3.3037
Ag 4.9555 1.6518 1.6518
Ag 4.9555 4.9555 4.9555
W 1.6518 1.6518 1.6518
W 1.6518 4.9555 4.9555
W 4.9555 1.6518 4.9555
W 4.9555 4.9555 1.6518
```

Summary:
Final energy = -4.5961 eV per atom
SG = F-43m, No. 216
Total magnetization = 1.86 μB per formula unit

=====

Entry 4:
Below is a geometry-optimized Y2InAg2 structure, with properties calculated at the PBE level.

Geometry as extended XYZ:
```
10
Lattice="4.8707 0.0000 0.0000 0.0000 4.8707 0.0000 0.0000 0.0000 11.3440" Properties=species:S:1:pos:R:3 pbc="T T T"
Y 0.0000 2.4354 2.8360
Y 0.0000 2.4354 8.5080
Y 2.4354 0.0000 2.8360
Y 2.4354 0.0000 8.5080
In 0.0000 0.0000 0.0000
In 2.4354 2.4354 5.6720
Ag 0.0000 0.0000 4.4000
Ag 0.0000 0.0000 6.9439
Ag 2.4354 2.4354 1.2719
Ag 2.4354 2.4354 10.0720
```

Summary:
Final energy = -4.2667 eV per atom
SG = I4/mmm, No. 139
Total magnetization = 0.00 μB per formula unit

=====

Entry 5:
Below is a geometry-optimized Zn2InAg structure, with properties calculated at the PBE level.

Geometry as extended XYZ:
```
16
Lattice="6.6956 0.0000 0.0000 0.0000 6.6956 0.0000 0.0000 0.0000 6.6956" Properties=species:S:1:pos:R:3 pbc="T T T"
Zn 0.0000 0.0000 0.0000
Zn 0.0000 3.3478 3.3478
Zn 1.6739 1.6739 1.6739
Zn 1.6739 5.0217 5.0217
Zn 3.3478 0.0000 3.3478
Zn 3.3478 3.3478 0.0000
Zn 5.0217 1.6739 5.0217
Zn 5.0217 5.0217 1.6739
In 0.0000 0.0000 3.3478
In 0.0000 3.3478 0.0000
In 3.3478 0.0000 0.0000
In 3.3478 3.3478 3.3478
Ag 1.6739 1.6739 5.0217
Ag 1.6739 5.0217 1.6739
Ag 5.0217 1.6739 1.6739
Ag 5.0217 5.0217 5.0217
```

Summary:
Final energy = -1.8997 eV per atom
SG = F-43m, No. 216

=====

Entry 6:
Below is a geometry-optimized Zn4In2Ag structure, with properties calculated at the PBE level.

Geometry as extended XYZ:
```
14
Lattice="4.9329 0.0000 0.0000 0.0000 4.9329 0.0000 0.0000 0.0000 14.0448" Properties=species:S:1:pos:R:3 pbc="T T T"
Zn 0.0000 0.0000 2.5474
Zn 0.0000 0.0000 11.4973
Zn 0.0000 2.4664 0.0000
Zn 0.0000 2.4664 7.0224
Zn 2.4664 0.0000 0.0000
Zn 2.4664 0.0000 7.0224
Zn 2.4664 2.4664 4.4750
Zn 2.4664 2.4664 9.5698
In 0.0000 0.0000 5.2492
In 0.0000 0.0000 8.7956
In 2.4664 2.4664 1.7732
In 2.4664 2.4664 12.2716
Ag 0.0000 0.0000 0.0000
Ag 2.4664 2.4664 7.0224
```

Summary:
Final energy = -1.6075 eV per atom
SG = I4/mmm, No. 139

=====

Entry 7:
Below is a geometry-optimized Zn2InAg structure, with properties calculated at the PBE level.

Geometry as extended XYZ:
```
8
Lattice="4.8060 0.0000 0.0000 0.0000 5.7235 0.0000 0.0000 0.0000 5.6805" Properties=species:S:1:pos:R:3 pbc="T T T"
Zn 4.8057 0.0000 0.0000
Zn 0.0003 0.0000 2.8402
Zn 0.0000 2.7148 1.4201
Zn 0.0000 3.0087 4.2603
In 2.4030 0.3836 4.2603
In 2.4030 5.3399 1.4201
Ag 2.3989 2.8618 0.0000
Ag 2.4071 2.8618 2.8402
```

Summary:
Final energy = -1.9087 eV per atom
SG = P222_1, No. 17

=====

Entry 8:
Below is a geometry-optimized Zr2InAg2 structure, with properties calculated at the PBE level.

Geometry as extended XYZ:
```
10
Lattice="4.3981 0.0000 0.0000 0.0000 4.3981 0.0000 0.0000 0.0000 12.2551" Properties=species:S:1:pos:R:3 pbc="T T T"
Zr 0.0000 2.1990 3.0638
Zr 0.0000 2.1990 9.1913
Zr 2.1990 0.0000 3.0638
Zr 2.1990 0.0000 9.1913
In 0.0000 0.0000 0.0000
In 2.1990 2.1990 6.1275
Ag 0.0000 0.0000 4.8475
Ag 0.0000 0.0000 7.4076
Ag 2.1990 2.1990 1.2800
Ag 2.1990 2.1990 10.9751
```

Summary:
Final energy = -4.8471 eV per atom
SG = I4/mmm, No. 139
Total magnetization = 0.02 μB per formula unit

=====

Entry 9:
Below is a geometry-optimized Zr2InAg2 structure, with properties calculated at the PBE level.

Geometry as extended XYZ:
```
10
Lattice="4.1122 0.0000 0.0000 0.0000 4.1122 0.0000 0.0000 0.0000 13.2683" Properties=species:S:1:pos:R:3 pbc="T T T"
Zr 0.0000 0.0000 1.3105
Zr 0.0000 0.0000 11.9579
Zr 2.0561 2.0561 5.3237
Zr 2.0561 2.0561 7.9446
In 0.0000 0.0000 6.6342
In 2.0561 2.0561 0.0000
Ag 0.0000 2.0561 3.3171
Ag 0.0000 2.0561 9.9513
Ag 2.0561 0.0000 3.3171
Ag 2.0561 0.0000 9.9513
```

Summary:
Final energy = -4.7940 eV per atom
SG = I4/mmm, No. 139
Total magnetization = 1.09 μB per formula unit

=====

Entry 10:
Below is a geometry-optimized ZrIn2Ag structure, with properties calculated at the PBE level.

Geometry as extended XYZ:
```
16
Lattice="7.0254 0.0000 0.0000 0.0000 7.0254 0.0000 0.0000 0.0000 7.0254" Properties=species:S:1:pos:R:3 pbc="T T T"
Zr 0.0000 0.0000 0.0000
Zr 0.0000 3.5127 3.5127
Zr 3.5127 0.0000 3.5127
Zr 3.5127 3.5127 0.0000
In 0.0000 0.0000 3.5127
In 0.0000 3.5127 0.0000
In 1.7564 1.7564 1.7564
In 1.7564 5.2691 5.2691
In 3.5127 0.0000 0.0000
In 3.5127 3.5127 3.5127
In 5.2691 1.7564 5.2691
In 5.2691 5.2691 1.7564
Ag 1.7564 1.7564 5.2691
Ag 1.7564 5.2691 1.7564
Ag 5.2691 1.7564 1.7564
Ag 5.2691 5.2691 5.2691
```

Summary:
Final energy = -4.1273 eV per atom
SG = F-43m, No. 216
Total magnetization = 0.07 μB per formula unit

=====

Entry 11:
Below is a geometry-optimized ZrIn2Ag2 structure, with properties calculated at the PBE level.

Geometry as extended XYZ:
```
10
Lattice="4.2259 0.0000 0.0000 0.0000 4.2259 0.0000 0.0000 0.0000 12.2445" Properties=species:S:1:pos:R:3 pbc="T T T"
Zr 0.0000 0.0000 0.0000
Zr 2.1129 2.1129 6.1223
In 0.0000 2.1129 3.0611
In 0.0000 2.1129 9.1834
In 2.1129 0.0000 3.0611
In 2.1129 0.0000 9.1834
Ag 0.0000 0.0000 4.8489
Ag 0.0000 0.0000 7.3956
Ag 2.1129 2.1129 1.2733
Ag 2.1129 2.1129 10.9712
```

Summary:
Final energy = -3.7829 eV per atom
SG = I4/mmm, No. 139
Total magnetization = 0.14 μB per formula unit

=====

Entry 12:
Below is a geometry-optimized Ag2Ir structure, with properties calculated at the PBE level.

Geometry as extended XYZ:
```
6
Lattice="0.0000 5.8442 5.8442 5.8442 0.0000 5.8442 5.8442 5.8442 0.0000" Properties=species:S:1:pos:R:3 pbc="T T T"
Ag 0.0000 0.0000 0.0000
Ag 2.9221 2.9221 0.0000
Ag 2.9221 0.0000 2.9221
Ag 0.0000 2.9221 2.9221
Ir 1.4610 1.4610 1.4610
Ir 10.2273 10.2273 10.2273
```

Summary:
Formation enthalpy at 0 K = 5.6 eV per formula unit
Final energy = -2.9542 eV per atom
SG = Fd-3m, No. 227
Total magnetization = 1.00 μB per formula unit

=====

Please write out number 3 again, unchanged.
Below is a geometry-optimized InAg2W structure, with properties calculated at the PBE level.

Geometry as extended XYZ:
```
16
Lattice="6.6073 0.0000 0.0000 0.0000 6.6073 0.0000 0.0000 0.0000 6.6073" Properties=species:S:1:pos:R:3 pbc="T T T"
In 0.0000 0.0000 0.0000
In 0.0000 3.3037 3.3037
In 3.3037 0.0000 3.3037
In 3.3037 3.3037 0.0000
Ag 0.0000 0.0000 3.3037
Ag 0.0000 3.3037 0.0000
Ag 1.6518 1.6518 4.9555
Ag 1.6518 4.9555 1.6518
Ag 3.3037 0.0000 0.0000
Ag 3.3037 3.3037 3.3037
Ag 4.9555 1.6518 1.6518
Ag 4.9555 4.9555 4.9555
W 1.6518 1.6518 1.6518
W 1.6518 4.9555 4.9555
W 4.9555 1.6518 4.9555
W 4.9555 4.9555 1.6518
```

Summary:
Final energy = -4.5961 eV per atom
SG = F-43m, No. 216
Total magnetization = 1.86 μB per formula unit